[1]
A plane-wave DFT calculation with PBE was carried out for a relaxed structure of Be2MoP.

Properties
Crystal system ... cubic
DOS(E_F) ... 1.02 states/eV per atom
DFT formation energy ... 0.3308 eV/atom
Space-group type ... F-43m (216)
VASP energy ... -0.4110 Ry per atom
Total magnetic moment ... 0.5 μB/f.u.

Cell lengths 4.0335, 4.0335, 4.0335 Å; angles 60.00, 60.00, 60.00 degrees
Last column: nearest neighbours and their distance in Å.
Positions (direct):
Be1 0.0000 0.0000 0.0000  4 Mo 2.47, 4 Be 2.47
Be2 0.2500 0.2500 0.2500  4 Be 2.47, 4 P 2.47
Mo1 0.7500 0.7500 0.7500  4 Be 2.47, 4 P 2.47
P1 0.5000 0.5000 0.5000  4 Mo 2.47, 4 Be 2.47


[2]
A plane-wave DFT calculation with PBE was carried out for a relaxed structure of Mn4FeGe2.

Properties
Crystal system ... tetragonal
DOS(E_F) ... 0.90 states/eV per atom
DFT formation energy ... 0.6052 eV/atom
Space-group type ... I4/mmm (139)
E above lowest polymorph ... 0.311 eV/atom
VASP energy ... -0.5265 Ry per atom
Total magnetic moment ... 11.0 μB/f.u.

Cell lengths 7.1430, 7.1430, 7.1430 Å; angles 145.99, 145.99, 48.86 degrees
Last column: nearest neighbours and their distance in Å.
Positions (direct):
Mn1 0.0000 0.5000 0.5000  2 Fe 2.09
Mn2 0.1839 0.1839 0.0000  1 Fe 2.39, 1 Ge 2.49
Mn3 0.5000 0.0000 0.5000  2 Fe 2.09
Mn4 0.8161 0.8161 0.0000  1 Fe 2.39, 1 Ge 2.49
Fe1 0.0000 0.0000 0.0000  4 Mn 2.09
Ge1 0.3751 0.3751 0.0000  5 Mn 2.49-2.65
Ge2 0.6249 0.6249 0.0000  5 Mn 2.49-2.65